VASP calculation (SCAN) on a PBEsol-optimized structure of TcMo2As.

a b c (Å): 3.1490 4.2044 8.7393
angles (deg): 90.00 90.00 90.00
Atoms (fractional coordinates):
Tc: 0.0000 0.0000 0.0000
Tc: 0.5000 0.5000 0.5000
Mo: 0.0000 0.5000 0.2428
Mo: 0.0000 0.5000 0.7572
Mo: 0.5000 0.0000 0.2572
Mo: 0.5000 0.0000 0.7428
As: 0.0000 0.0000 0.5000
As: 0.5000 0.5000 0.0000

Results
Theoretical density (g/cm3): 10.5
Space-group type: Immm, No. 71
Formation enthalpy at 0 K (eV per formula unit): -0.1